Record 1
# Re12Tc17

A relaxed structure of Re12Tc17 (GGA-PBE, Alexandria).

Output
Energy of formation from the pure elements (meV per atom): 47

Cell lengths 9.5732, 9.5732, 9.5732 Å; angles 90.00, 90.00, 90.00 degrees
Space group I-43m (No. 217)
Symmetry-distinct sites (fractional):
Re 0.0910 0.0910 0.2845 x24
Tc 0.0000 0.0000 0.0000 x2
Tc 0.0430 0.3587 0.3587 x24
Tc 0.1756 0.1756 0.8244 x8

=====

Record 2
# Re5Tc

A relaxed structure of Re5Tc (GGA-PBE, Alexandria).

Output
Offset from the most stable computed form (meV/atom): 0.0
Energy of formation from the pure elements (meV per atom): -4

Cell lengths 4.4713, 2.7727, 14.4183 Å; angles 90.00, 90.00, 90.00 degrees
Space group Amm2 (No. 38)
Symmetry-distinct sites (fractional):
Re 0.0000 0.0000 0.0000 x2
Re 0.0000 0.0000 0.3325 x2
Re 0.5000 0.0000 0.1106 x2
Re 0.5000 0.0000 0.4436 x2
Re 0.5000 0.0000 0.7767 x2
Tc 0.0000 0.0000 0.6658 x2

=====

Record 3
# Re2Tc

A relaxed structure of Re2Tc (GGA-PBE, Alexandria).

Output
Offset from the most stable computed form (meV/atom): 6.0
Energy of formation from the pure elements (meV per atom): 2

Cell lengths 10.1337, 2.7757, 6.5475 Å; angles 90.00, 104.83, 90.00 degrees
Space group Cm (No. 8)
Symmetry-distinct sites (fractional):
Re 0.0000 0.0000 0.0000 x2
Re 0.0548 0.0000 0.6089 x2
Re 0.1674 0.5000 0.3319 x2
Re 0.3338 0.0000 0.6663 x2
Tc 0.2214 0.5000 0.9407 x2
Tc 0.3874 0.0000 0.2737 x2

=====

Record 4
# Re8Tc

A relaxed structure of Re8Tc (GGA-PBE, Alexandria).

Output
Offset from the most stable computed form (meV/atom): 4.2
Energy of formation from the pure elements (meV per atom): 66

Cell lengths 2.7643, 8.3145, 11.7335 Å; angles 90.00, 90.00, 90.00 degrees
Space group Immm (No. 71)
Symmetry-distinct sites (fractional):
Re 0.0000 0.0000 0.1667 x4
Re 0.0000 0.3329 0.5000 x4
Re 0.0000 0.3336 0.1663 x8
Tc 0.0000 0.0000 0.5000 x2

=====

Record 5
# Re3Tc

A relaxed structure of Re3Tc (GGA-PBE, Alexandria).

Output
Offset from the most stable computed form (meV/atom): 65.2
Energy of formation from the pure elements (meV per atom): 64

Cell lengths 5.5295, 7.7962, 2.7700 Å; angles 90.00, 90.00, 90.00 degrees
Space group Cmmm (No. 65)
Symmetry-distinct sites (fractional):
Re 0.0000 0.0000 0.0000 x2
Re 0.2500 0.2500 0.5000 x4
Tc 0.0000 0.5000 0.0000 x2

=====

Record 6
# Re8Tc

A relaxed structure of Re8Tc (GGA-PBE, Alexandria).

Output
Offset from the most stable computed form (meV/atom): 0.0
Energy of formation from the pure elements (meV per atom): 62

Cell lengths 8.3287, 8.3287, 3.8854 Å; angles 90.00, 90.00, 90.00 degrees
Space group I4/mmm (No. 139)
Symmetry-distinct sites (fractional):
Re 0.0000 0.3328 0.0000 x8
Re 0.1664 0.1664 0.5000 x8
Tc 0.0000 0.0000 0.0000 x2

=====

Record 7
# Re3Tc

A relaxed structure of Re3Tc (GGA-PBE, Alexandria).

Output
Offset from the most stable computed form (meV/atom): 3.8
Energy of formation from the pure elements (meV per atom): 3

Cell lengths 2.7700, 2.7700, 8.9475 Å; angles 90.00, 90.00, 120.00 degrees
Space group P-6m2 (No. 187)
Symmetry-distinct sites (fractional):
Re 0.0000 0.0000 0.0000 x1
Re 0.6667 0.3333 0.2512 x2
Tc 0.0000 0.0000 0.5000 x1

=====

Record 8
# Re5Tc3

A relaxed structure of Re5Tc3 (GGA-PBE, Alexandria).

Output
Offset from the most stable computed form (meV/atom): 0.0
Energy of formation from the pure elements (meV per atom): 7

Cell lengths 2.7708, 4.4617, 9.5900 Å; angles 90.00, 90.00, 90.00 degrees
Space group Pmm2 (No. 25)
Symmetry-distinct sites (fractional):
Re 0.0000 0.0000 0.0000 x1
Re 0.0000 0.0000 0.4978 x1
Re 0.0000 0.5000 0.8330 x1
Re 0.5000 0.0000 0.7493 x1
Re 0.5000 0.5000 0.5814 x1
Tc 0.0000 0.5000 0.3310 x1
Tc 0.5000 0.0000 0.2494 x1
Tc 0.5000 0.5000 0.0828 x1

=====

Record 9
# ReTc2

A relaxed structure of ReTc2 (GGA-PBE, Alexandria).

Output
Offset from the most stable computed form (meV/atom): 281.9
Energy of formation from the pure elements (meV per atom): 281

Cell lengths 7.1266, 7.1266, 7.1266 Å; angles 90.00, 90.00, 90.00 degrees
Space group Fd-3m (No. 227, origin choice 2)
Symmetry-distinct sites (fractional):
Re 0.1250 0.1250 0.1250 x8
Tc 0.0000 0.0000 0.5000 x16

=====

Record 10
# ReTc3

A relaxed structure of ReTc3 (GGA-PBE, Alexandria).

Output
Offset from the most stable computed form (meV/atom): 67.9
Energy of formation from the pure elements (meV per atom): 64

Cell lengths 5.5022, 5.5080, 4.7531 Å; angles 90.00, 125.24, 90.00 degrees
Space group C2/m (No. 12)
Symmetry-distinct sites (fractional):
Re 0.0000 0.0000 0.0000 x2
Tc 0.0000 0.2501 0.5000 x4
Tc 0.0000 0.5000 0.0000 x2

=====

Record 11
# Re3Tc

A relaxed structure of Re3Tc (GGA-PBE, Alexandria).

Output
Offset from the most stable computed form (meV/atom): 183.7
Energy of formation from the pure elements (meV per atom): 183

Cell lengths 4.9445, 4.9445, 4.9445 Å; angles 90.00, 90.00, 90.00 degrees
Space group Pm-3n (No. 223)
Symmetry-distinct sites (fractional):
Re 0.0000 0.2500 0.5000 x6
Tc 0.0000 0.0000 0.0000 x2

=====

Record 12
# ReTc4

A relaxed structure of ReTc4 (GGA-PBE, Alexandria).

Output
Offset from the most stable computed form (meV/atom): 1321.2
Energy of formation from the pure elements (meV per atom): 1390

Cell lengths 5.6985, 5.6985, 5.6985 Å; angles 90.00, 90.00, 90.00 degrees
Space group Im-3m (No. 229)
Symmetry-distinct sites (fractional):
Re 0.0000 0.0000 0.0000 x2
Tc 0.2500 0.2500 0.2500 x8

=====

Record 13
# Re3Tc

A relaxed structure of Re3Tc (GGA-PBE, Alexandria).

Output
Offset from the most stable computed form (meV/atom): 1.8
Energy of formation from the pure elements (meV per atom): 1

Cell lengths 2.7709, 8.9498, 4.7968 Å; angles 90.00, 90.00, 90.00 degrees
Space group Imm2 (No. 44)
Symmetry-distinct sites (fractional):
Re 0.0000 0.0000 0.0000 x2
Re 0.0000 0.2497 0.6659 x4
Tc 0.0000 0.5000 0.0039 x2

=====

Record 14
# ReTc2

A relaxed structure of ReTc2 (GGA-PBE, Alexandria).

Output
Offset from the most stable computed form (meV/atom): 0.0
Energy of formation from the pure elements (meV per atom): -1

Cell lengths 2.7628, 14.3633, 4.4435 Å; angles 90.00, 90.00, 90.00 degrees
Space group Cmcm (No. 63)
Symmetry-distinct sites (fractional):
Re 0.0000 0.1113 0.2500 x4
Tc 0.0000 0.2224 0.7500 x4
Tc 0.0000 0.4440 0.2500 x4

=====

Record 15
# Re4Tc3

A relaxed structure of Re4Tc3 (GGA-PBE, Alexandria).

Output
Offset from the most stable computed form (meV/atom): 0.0
Energy of formation from the pure elements (meV per atom): 62

Cell lengths 8.7303, 3.8935, 6.1751 Å; angles 90.00, 98.12, 90.00 degrees
Space group C2/m (No. 12)
Symmetry-distinct sites (fractional):
Re 0.0726 0.0000 0.2157 x4
Re 0.1427 0.5000 0.9278 x4
Tc 0.0000 0.5000 0.5000 x2
Tc 0.2136 0.0000 0.6421 x4

=====

Record 16
# Re3Tc

A relaxed structure of Re3Tc (GGA-PBE, Alexandria).

Output
Offset from the most stable computed form (meV/atom): 61.9
Energy of formation from the pure elements (meV per atom): 61

Cell lengths 3.9134, 3.9134, 15.5817 Å; angles 90.00, 90.00, 90.00 degrees
Space group I4/mmm (No. 139)
Symmetry-distinct sites (fractional):
Re 0.0000 0.0000 0.1256 x4
Re 0.0000 0.5000 0.0000 x4
Re 0.0000 0.5000 0.2500 x4
Tc 0.0000 0.0000 0.3756 x4

=====

Record 17
# ReTc2

A relaxed structure of ReTc2 (GGA-PBE, Alexandria).

Output
Offset from the most stable computed form (meV/atom): 115.1
Energy of formation from the pure elements (meV per atom): 115

Cell lengths 5.4006, 4.2046, 7.9072 Å; angles 90.00, 90.00, 90.00 degrees
Space group Pnma (No. 62)
Symmetry-distinct sites (fractional):
Re 0.1899 0.2500 0.1023 x4
Tc 0.0445 0.2500 0.7773 x4
Tc 0.1653 0.2500 0.4362 x4

=====

Record 18
# Re2Tc

A relaxed structure of Re2Tc (GGA-PBE, Alexandria).

Output
Offset from the most stable computed form (meV/atom): 259.9
Energy of formation from the pure elements (meV per atom): 256

Cell lengths 6.2411, 6.2411, 4.8049 Å; angles 90.00, 90.00, 90.00 degrees
Space group I4/mcm (No. 140)
Symmetry-distinct sites (fractional):
Re 0.1398 0.3602 0.0000 x8
Tc 0.0000 0.0000 0.2500 x4

=====

Record 19
# Re2Tc3

A relaxed structure of Re2Tc3 (GGA-PBE, Alexandria).

Output
Offset from the most stable computed form (meV/atom): 11.5
Energy of formation from the pure elements (meV per atom): 76

Cell lengths 9.3042, 13.0954, 4.8937 Å; angles 90.00, 90.00, 90.00 degrees
Space group Fdd2 (No. 43)
Symmetry-distinct sites (fractional):
Re 0.0312 0.3007 0.0000 x16
Tc 0.0000 0.0000 0.4399 x8
Tc 0.0568 0.4017 0.4603 x16

=====

Record 20
# Re4Tc5

A relaxed structure of Re4Tc5 (GGA-PBE, Alexandria).

Output
Offset from the most stable computed form (meV/atom): 61.2
Energy of formation from the pure elements (meV per atom): 127

Cell lengths 7.5286, 7.5286, 5.4880 Å; angles 90.00, 90.00, 120.00 degrees
Space group P6_3/mcm (No. 193)
Symmetry-distinct sites (fractional):
Re 0.0000 0.0000 0.0000 x2
Re 0.0000 0.3329 0.2500 x6
Tc 0.0000 0.3335 0.7500 x6
Tc 0.3333 0.6667 0.0000 x4

=====

Record 21
# ReTc3

A relaxed structure of ReTc3 (GGA-PBE, Alexandria).

Output
Offset from the most stable computed form (meV/atom): 272.9
Energy of formation from the pure elements (meV per atom): 269

Cell lengths 8.7683, 8.7683, 2.6744 Å; angles 90.00, 90.00, 120.00 degrees
Space group R-3m (No. 166, hexagonal axes)
Symmetry-distinct sites (fractional):
Re 0.0000 0.0000 0.0000 x3
Tc 0.0000 0.5000 0.0000 x9

=====

Record 22
# Re3Tc

A relaxed structure of Re3Tc (GGA-PBE, Alexandria).

Output
Offset from the most stable computed form (meV/atom): 3074.7
Energy of formation from the pure elements (meV per atom): 3074

Cell lengths 4.7092, 4.7092, 4.7092 Å; angles 90.00, 90.00, 90.00 degrees
Space group Pm-3m (No. 221)
Symmetry-distinct sites (fractional):
Re 0.0000 0.0000 0.5000 x3
Tc 0.0000 0.0000 0.0000 x1

=====

Record 23
# Re3Tc

A relaxed structure of Re3Tc (GGA-PBE, Alexandria).

Output
Offset from the most stable computed form (meV/atom): 60.2
Energy of formation from the pure elements (meV per atom): 59

Cell lengths 2.7619, 2.7619, 27.1093 Å; angles 90.00, 90.00, 120.00 degrees
Space group R-3m (No. 166, hexagonal axes)
Symmetry-distinct sites (fractional):
Re 0.0000 0.0000 0.0000 x3
Re 0.0000 0.0000 0.2498 x6
Tc 0.0000 0.0000 0.5000 x3

=====

Record 24
# Re5Tc

A relaxed structure of Re5Tc (GGA-PBE, Alexandria).

Output
Offset from the most stable computed form (meV/atom): 391.7
Energy of formation from the pure elements (meV per atom): 387

Cell lengths 6.1046, 6.1046, 10.3364 Å; angles 90.00, 90.00, 90.00 degrees
Space group I4/mcm (No. 140)
Symmetry-distinct sites (fractional):
Re 0.0000 0.0000 0.0000 x4
Re 0.1447 0.3553 0.1328 x16
Tc 0.0000 0.0000 0.2500 x4